1.
4
Lattice="3.5431 -2.0498 0.0000 3.5431 2.0498 0.0000 -2.3773 0.0000 5.2858" Properties=species:S:1:pos:R:3 comment="CaBe2Hg (PBE, optimized geometry)" final_energy_ev_per_cell=-9.49 formation_energy_mev_per_atom=67 spacegroup=Cm pbc="T T T"
Ca 0.0000 0.0000 0.0000
Be 2.3585 0.0000 2.3970
Be 4.7192 0.0000 2.2414
Hg -0.0063 0.0000 3.0813



2.
4
Lattice="-2.1988 2.6431 3.8869 2.1988 -2.6431 3.8869 2.1988 2.6431 -3.8869" Properties=species:S:1:pos:R:3 comment="CaBeHg2 (PBE, optimized geometry)" final_energy_ev_per_cell=-6.17 formation_energy_mev_per_atom=40 spacegroup=Imm2 pbc="T T T"
Ca 0.0000 0.0000 0.0000
Be 2.1988 0.0000 2.3719
Hg 0.0000 0.0000 3.3240
Hg 0.0000 2.6431 1.6024



3.
4
Lattice="3.0217 0.0000 0.0000 0.0000 3.1997 0.0000 0.0000 0.0000 7.1650" Properties=species:S:1:pos:R:3 comment="CaBe2Hg (PBE, optimized geometry)" final_energy_ev_per_cell=-8.75 formation_energy_mev_per_atom=251 spacegroup=Pmm2 pbc="T T T"
Ca 0.0000 0.0000 0.0000
Be 0.0000 0.0000 2.9623
Be 1.5108 1.5998 2.1426
Hg 1.5108 1.5998 4.7826



Repeat the second record exactly.
4
Lattice="-2.1988 2.6431 3.8869 2.1988 -2.6431 3.8869 2.1988 2.6431 -3.8869" Properties=species:S:1:pos:R:3 comment="CaBeHg2 (PBE, optimized geometry)" final_energy_ev_per_cell=-6.17 formation_energy_mev_per_atom=40 spacegroup=Imm2 pbc="T T T"
Ca 0.0000 0.0000 0.0000
Be 2.1988 0.0000 2.3719
Hg 0.0000 0.0000 3.3240
Hg 0.0000 2.6431 1.6024



Repeat the third record exactly.
4
Lattice="3.0217 0.0000 0.0000 0.0000 3.1997 0.0000 0.0000 0.0000 7.1650" Properties=species:S:1:pos:R:3 comment="CaBe2Hg (PBE, optimized geometry)" final_energy_ev_per_cell=-8.75 formation_energy_mev_per_atom=251 spacegroup=Pmm2 pbc="T T T"
Ca 0.0000 0.0000 0.0000
Be 0.0000 0.0000 2.9623
Be 1.5108 1.5998 2.1426
Hg 1.5108 1.5998 4.7826